Computed, not measured: a relaxed structure of ScPtNF2 at the PBE level of DFT.

Unit cell a=4.570 b=4.570 c=3.716 alpha=90.00 beta=90.00 gamma=90.00
Atoms (fractional coordinates):
Pt  0.000  0.000  0.000
N  0.000  0.000  0.500
Sc  0.500  0.500  0.500
F  0.500  0.000  0.000
F  0.000  0.500  0.000

Summary:
Calculated volume in Å³ per atom: 15.5
VASP energy in eV/atom: -5.411

Computed, not measured: a relaxed structure of ScPtN2F at the PBE level of DFT.

Unit cell a=4.228 b=4.228 c=3.817 alpha=90.00 beta=90.00 gamma=90.00
Atoms (fractional coordinates):
Sc  0.000  0.000  0.000
N  0.000  0.500  0.000
N  0.500  0.000  0.000
F  0.000  0.000  0.500
Pt  0.500  0.500  0.500

Summary:
Calculated volume in Å³ per atom: 13.6
VASP energy in eV/atom: -5.983

Computed, not measured: a relaxed structure of ScPtNF2 at the PBE level of DFT.

Unit cell a=3.870 b=3.870 c=4.660 alpha=90.00 beta=90.00 gamma=90.00
Atoms (fractional coordinates):
N  0.000  0.000  0.500
F  0.500  0.000  0.000
Pt  0.500  0.500  0.500
F  0.000  0.500  0.000
Sc  0.000  0.000  0.000

Summary:
Calculated volume in Å³ per atom: 14.0
VASP energy in eV/atom: -6.010

Number 1: raw formation energy -50.5 kJ/mol of atoms. Number 2: raw formation energy 18.9 kJ/mol of atoms. Number 3: raw formation energy -108.2 kJ/mol of atoms.